# 1
VASP calculation (GGA-PBE) on a geometry-optimized Hf4ZnSN2 structure.

```
data_Hf4ZnSN2
_chemical_formula_sum 'Hf4 Zn1 S1 N2'
_symmetry_space_group_name_H-M 'P -6 m 2'
_symmetry_Int_Tables_number 187
_symmetry_space_group_name_Hall 'P -6 2'
_cell_length_a 3.2704
_cell_length_b 3.2704
_cell_length_c 12.8961
_cell_angle_alpha 90.00
_cell_angle_beta 90.00
_cell_angle_gamma 120.00
loop_
_atom_site_label
_atom_site_type_symbol
_atom_site_fract_x
_atom_site_fract_y
_atom_site_fract_z
Hf1 Hf 0.0000 0.0000 0.1398
Hf2 Hf 0.3333 0.6667 0.3298
Zn1 Zn 0.0000 0.0000 0.5000
S1 S 0.3333 0.6667 0.0000
N1 N 0.6667 0.3333 0.2390
```

electronic total energy	-71.96	eV for the cell shown
size of the total moment	0.0	μB/f.u.

***

# 2
VASP calculation (GGA-PBE) on a geometry-optimized Hf2SbN structure.

```
data_Hf2SbN
_chemical_formula_sum 'Hf4 Sb2 N2'
_symmetry_space_group_name_H-M 'P 63/m m c'
_symmetry_Int_Tables_number 194
_symmetry_space_group_name_Hall '-P 6c 2c'
_cell_length_a 3.4190
_cell_length_b 3.4190
_cell_length_c 13.3119
_cell_angle_alpha 90.00
_cell_angle_beta 90.00
_cell_angle_gamma 120.00
loop_
_atom_site_label
_atom_site_type_symbol
_atom_site_fract_x
_atom_site_fract_y
_atom_site_fract_z
Hf1 Hf 0.3333 0.6667 0.0863
Sb1 Sb 0.3333 0.6667 0.7500
N1 N 0.0000 0.0000 0.0000
```

electronic total energy	-72.71	eV for the cell shown
size of the total moment	0.0	μB/f.u.

***

# 3
VASP calculation (GGA-PBE) on a geometry-optimized Hf2SbN structure.

```
data_Hf2SbN
_chemical_formula_sum 'Hf4 Sb2 N2'
_symmetry_space_group_name_H-M 'P 63/m m c'
_symmetry_Int_Tables_number 194
_symmetry_space_group_name_Hall '-P 6c 2c'
_cell_length_a 3.4259
_cell_length_b 3.4259
_cell_length_c 13.2748
_cell_angle_alpha 90.00
_cell_angle_beta 90.00
_cell_angle_gamma 120.00
loop_
_atom_site_label
_atom_site_type_symbol
_atom_site_fract_x
_atom_site_fract_y
_atom_site_fract_z
Hf1 Hf 0.3333 0.6667 0.0863
Sb1 Sb 0.3333 0.6667 0.7500
N1 N 0.0000 0.0000 0.0000
```

electronic total energy	-72.71	eV for the cell shown
size of the total moment	0.0	μB/f.u.

***

# 4
VASP calculation (GGA-PBE) on a geometry-optimized Hf2Sc4Sb3N3 structure.

```
data_Hf2Sc4Sb3N3
_chemical_formula_sum 'Hf8 Sc16 Sb12 N12'
_symmetry_space_group_name_H-M 'C 1 2/c 1'
_symmetry_Int_Tables_number 15
_symmetry_space_group_name_Hall '-C 2yc'
_cell_length_a 10.046
_cell_length_b 5.804
_cell_length_c 14.277
_cell_angle_alpha 90.00
_cell_angle_beta 103.60
_cell_angle_gamma 90.00
loop_
_atom_site_label
_atom_site_type_symbol
_atom_site_fract_x
_atom_site_fract_y
_atom_site_fract_z
Hf1 Hf 0.058 0.086 0.417
Sc1 Sc 0.112 0.421 0.585
Sc2 Sc 0.219 0.414 0.915
Sb1 Sb 0.000 0.416 0.250
Sb2 Sb 0.166 0.081 0.749
N1 N 0.081 0.244 0.000
N2 N 0.250 0.250 0.500
```

electronic total energy	-388.00	eV for the cell shown
size of the total moment	0.0	μB/f.u.

***

# 5
VASP calculation (GGA-PBE) on a geometry-optimized Hf4Sc2Sb3N3 structure.

```
data_Hf4Sc2Sb3N3
_chemical_formula_sum 'Hf16 Sc8 Sb12 N12'
_symmetry_space_group_name_H-M 'C 1 2/c 1'
_symmetry_Int_Tables_number 15
_symmetry_space_group_name_Hall '-C 2yc'
_cell_length_a 10.140
_cell_length_b 5.839
_cell_length_c 14.036
_cell_angle_alpha 90.00
_cell_angle_beta 103.96
_cell_angle_gamma 90.00
loop_
_atom_site_label
_atom_site_type_symbol
_atom_site_fract_x
_atom_site_fract_y
_atom_site_fract_z
Hf1 Hf 0.112 0.087 0.085
Hf2 Hf 0.224 0.082 0.415
Sc1 Sc 0.052 0.419 0.913
Sb1 Sb 0.000 0.083 0.750
Sb2 Sb 0.167 0.419 0.251
N1 N 0.084 0.247 0.500
N2 N 0.250 0.250 0.000
```

electronic total energy	-412.35	eV for the cell shown
size of the total moment	0.0	μB/f.u.

***

# 6
VASP calculation (GGA-PBE) on a geometry-optimized Hf4SiSbN2 structure.

```
data_Hf4SiSbN2
_chemical_formula_sum 'Hf4 Si1 Sb1 N2'
_symmetry_space_group_name_H-M 'P -6 m 2'
_symmetry_Int_Tables_number 187
_symmetry_space_group_name_Hall 'P -6 2'
_cell_length_a 3.3000
_cell_length_b 3.3000
_cell_length_c 13.4016
_cell_angle_alpha 90.00
_cell_angle_beta 90.00
_cell_angle_gamma 120.00
loop_
_atom_site_label
_atom_site_type_symbol
_atom_site_fract_x
_atom_site_fract_y
_atom_site_fract_z
Hf1 Hf 0.0000 0.0000 0.1489
Hf2 Hf 0.6667 0.3333 0.3315
Si1 Si 0.6667 0.3333 0.0000
Sb1 Sb 0.0000 0.0000 0.5000
N1 N 0.3333 0.6667 0.2403
```

electronic total energy	-74.34	eV for the cell shown
size of the total moment	0.0	μB/f.u.

***

# 7
VASP calculation (GGA-PBE) on a geometry-optimized Hf4SnSbN2 structure.

```
data_Hf4SnSbN2
_chemical_formula_sum 'Hf4 Sn1 Sb1 N2'
_symmetry_space_group_name_H-M 'P -6 m 2'
_symmetry_Int_Tables_number 187
_symmetry_space_group_name_Hall 'P -6 2'
_cell_length_a 3.3341
_cell_length_b 3.3341
_cell_length_c 13.9388
_cell_angle_alpha 90.00
_cell_angle_beta 90.00
_cell_angle_gamma 120.00
loop_
_atom_site_label
_atom_site_type_symbol
_atom_site_fract_x
_atom_site_fract_y
_atom_site_fract_z
Hf1 Hf 0.0000 0.0000 0.1600
Hf2 Hf 0.6667 0.3333 0.3323
Sn1 Sn 0.0000 0.0000 0.5000
Sb1 Sb 0.6667 0.3333 0.0000
N1 N 0.3333 0.6667 0.2467
```

electronic total energy	-72.62	eV for the cell shown
size of the total moment	0.0	μB/f.u.

***

# 8
VASP calculation (GGA-PBE) on a geometry-optimized Hf2Ta4Sb3N3 structure.

```
data_Hf2Ta4Sb3N3
_chemical_formula_sum 'Hf8 Ta16 Sb12 N12'
_symmetry_space_group_name_H-M 'C 1 2/c 1'
_symmetry_Int_Tables_number 15
_symmetry_space_group_name_Hall '-C 2yc'
_cell_length_a 10.165
_cell_length_b 5.896
_cell_length_c 13.346
_cell_angle_alpha 90.00
_cell_angle_beta 104.72
_cell_angle_gamma 90.00
loop_
_atom_site_label
_atom_site_type_symbol
_atom_site_fract_x
_atom_site_fract_y
_atom_site_fract_z
Hf1 Hf 0.057 0.087 0.409
Ta1 Ta 0.111 0.431 0.579
Ta2 Ta 0.216 0.410 0.921
Sb1 Sb 0.000 0.433 0.250
Sb2 Sb 0.175 0.094 0.749
N1 N 0.077 0.233 0.000
N2 N 0.250 0.250 0.500
```

electronic total energy	-446.35	eV for the cell shown
size of the total moment	0.0	μB/f.u.

***

# 9
VASP calculation (GGA-PBE) on a geometry-optimized Hf2Sb3W4N3 structure.

```
data_Hf2Sb3W4N3
_chemical_formula_sum 'Hf8 Sb12 W16 N12'
_symmetry_space_group_name_H-M 'C 1 2/c 1'
_symmetry_Int_Tables_number 15
_symmetry_space_group_name_Hall '-C 2yc'
_cell_length_a 10.440
_cell_length_b 5.806
_cell_length_c 13.187
_cell_angle_alpha 90.00
_cell_angle_beta 102.68
_cell_angle_gamma 90.00
loop_
_atom_site_label
_atom_site_type_symbol
_atom_site_fract_x
_atom_site_fract_y
_atom_site_fract_z
Hf1 Hf 0.071 0.105 0.420
Sb1 Sb 0.000 0.441 0.250
Sb2 Sb 0.169 0.088 0.741
W1 W 0.130 0.478 0.581
W2 W 0.204 0.378 0.914
N1 N 0.101 0.198 0.016
N2 N 0.250 0.250 0.500
```

electronic total energy	-441.13	eV for the cell shown
size of the total moment	0.0	μB/f.u.

***

# 10
VASP calculation (GGA-PBE) on a geometry-optimized Hf4Sb3W2N3 structure.

```
data_Hf4Sb3W2N3
_chemical_formula_sum 'Hf16 Sb12 W8 N12'
_symmetry_space_group_name_H-M 'C 1 2/c 1'
_symmetry_Int_Tables_number 15
_symmetry_space_group_name_Hall '-C 2yc'
_cell_length_a 10.239
_cell_length_b 5.901
_cell_length_c 13.351
_cell_angle_alpha 90.00
_cell_angle_beta 104.60
_cell_angle_gamma 90.00
loop_
_atom_site_label
_atom_site_type_symbol
_atom_site_fract_x
_atom_site_fract_y
_atom_site_fract_z
Hf1 Hf 0.112 0.097 0.087
Hf2 Hf 0.227 0.074 0.413
Sb1 Sb 0.000 0.103 0.750
Sb2 Sb 0.160 0.423 0.253
W1 W 0.045 0.425 0.921
N1 N 0.089 0.236 0.500
N2 N 0.250 0.250 0.000
```

electronic total energy	-438.51	eV for the cell shown
size of the total moment	0.0	μB/f.u.

***

# 11
VASP calculation (GGA-PBE) on a geometry-optimized Y2Hf4Sb3N3 structure.

```
data_Y2Hf4Sb3N3
_chemical_formula_sum 'Y8 Hf16 Sb12 N12'
_symmetry_space_group_name_H-M 'C 1 2/c 1'
_symmetry_Int_Tables_number 15
_symmetry_space_group_name_Hall '-C 2yc'
_cell_length_a 10.368
_cell_length_b 5.961
_cell_length_c 14.374
_cell_angle_alpha 90.00
_cell_angle_beta 104.04
_cell_angle_gamma 90.00
loop_
_atom_site_label
_atom_site_type_symbol
_atom_site_fract_x
_atom_site_fract_y
_atom_site_fract_z
Y1 Y 0.048 0.080 0.404
Hf1 Hf 0.111 0.410 0.582
Hf2 Hf 0.226 0.420 0.918
Sb1 Sb 0.000 0.446 0.250
Sb2 Sb 0.182 0.096 0.752
N1 N 0.088 0.263 0.000
N2 N 0.250 0.250 0.500
```

electronic total energy	-411.39	eV for the cell shown
size of the total moment	0.0	μB/f.u.

***

# 12
VASP calculation (GGA-PBE) on a geometry-optimized Hf2Zr4Sb3N3 structure.

```
data_Hf2Zr4Sb3N3
_chemical_formula_sum 'Hf8 Zr16 Sb12 N12'
_symmetry_space_group_name_H-M 'C 1 2/c 1'
_symmetry_Int_Tables_number 15
_symmetry_space_group_name_Hall '-C 2yc'
_cell_length_a 10.369
_cell_length_b 5.996
_cell_length_c 13.832
_cell_angle_alpha 90.00
_cell_angle_beta 104.43
_cell_angle_gamma 90.00
loop_
_atom_site_label
_atom_site_type_symbol
_atom_site_fract_x
_atom_site_fract_y
_atom_site_fract_z
Hf1 Hf 0.058 0.086 0.416
Zr1 Zr 0.112 0.422 0.587
Zr2 Zr 0.218 0.414 0.913
Sb1 Sb 0.000 0.413 0.250
Sb2 Sb 0.165 0.082 0.749
N1 N 0.079 0.236 0.000
N2 N 0.250 0.250 0.500
```

electronic total energy	-417.51	eV for the cell shown
size of the total moment	0.0	μB/f.u.

***

Which formula does entry 3 have? Hf2SbN

***

What did the tenth record say?
VASP calculation (GGA-PBE) on a geometry-optimized Hf4Sb3W2N3 structure.

```
data_Hf4Sb3W2N3
_chemical_formula_sum 'Hf16 Sb12 W8 N12'
_symmetry_space_group_name_H-M 'C 1 2/c 1'
_symmetry_Int_Tables_number 15
_symmetry_space_group_name_Hall '-C 2yc'
_cell_length_a 10.239
_cell_length_b 5.901
_cell_length_c 13.351
_cell_angle_alpha 90.00
_cell_angle_beta 104.60
_cell_angle_gamma 90.00
loop_
_atom_site_label
_atom_site_type_symbol
_atom_site_fract_x
_atom_site_fract_y
_atom_site_fract_z
Hf1 Hf 0.112 0.097 0.087
Hf2 Hf 0.227 0.074 0.413
Sb1 Sb 0.000 0.103 0.750
Sb2 Sb 0.160 0.423 0.253
W1 W 0.045 0.425 0.921
N1 N 0.089 0.236 0.500
N2 N 0.250 0.250 0.000
```

electronic total energy	-438.51	eV for the cell shown
size of the total moment	0.0	μB/f.u.

***

Which value of electronic total energy does entry 10 give? -438.51 eV for the cell shown

***

Which value of electronic total energy does entry 12 give? -417.51 eV for the cell shown